Record 1
Here is crystalline ScNi6 at its relaxed geometry from the Alexandria database. Energies are from PBE.

As for the crystal system: orthorhombic. Its volume is 348.53 Å³ per cell. The value obtained for the density of states at the Fermi level is 1.499 states/eV per atom. The value obtained for the calculated density is 7.57 g/cm³. Its energy relative to the elements is -0.198 eV per atom. As for the total energy: -6.058 eV per atom.

Lattice parameters (Å, degrees): 7.673 4.723 9.617 90.00 90.00 90.00
Element x y z (fractional)
Sc1 0.244 0.250 0.061
Sc2 0.256 0.750 0.561
Sc3 0.744 0.250 0.439
Sc4 0.756 0.750 0.939
Ni1 0.057 0.750 0.085
Ni2 0.066 0.007 0.307
Ni3 0.066 0.493 0.307
Ni4 0.105 0.250 0.520
Ni5 0.148 0.750 0.849
Ni6 0.184 0.250 0.759
Ni7 0.316 0.750 0.259
Ni8 0.352 0.250 0.349
Ni9 0.395 0.750 0.020
Ni10 0.434 0.507 0.807
Ni11 0.434 0.993 0.807
Ni12 0.443 0.250 0.585
Ni13 0.557 0.750 0.415
Ni14 0.566 0.007 0.193
Ni15 0.566 0.493 0.193
Ni16 0.605 0.250 0.980
Ni17 0.648 0.750 0.651
Ni18 0.684 0.250 0.741
Ni19 0.816 0.750 0.241
Ni20 0.852 0.250 0.151
Ni21 0.895 0.750 0.480
Ni22 0.934 0.507 0.693
Ni23 0.934 0.993 0.693
Ni24 0.943 0.250 0.915


Record 2
Here is crystalline Sc3Ni at its relaxed geometry from the Alexandria database. Energies are from PBE.

As for the crystal system: tetragonal. Its volume is 81.73 Å³ per cell. The value obtained for the density of states at the Fermi level is 1.459 states/eV per atom. The value obtained for the calculated density is 3.93 g/cm³. Its energy relative to the elements is -0.209 eV per atom. As for the total energy: -6.403 eV per atom.

Lattice parameters (Å, degrees): 3.223 3.223 7.868 90.00 90.00 90.00
Element x y z (fractional)
Sc1 0.000 0.000 0.000
Sc2 0.500 0.500 0.306
Sc3 0.500 0.500 0.694
Ni1 0.000 0.000 0.500


Record 3
Here is crystalline Sc3Ni at its relaxed geometry from the Alexandria database. Energies are from PBE.

As for the crystal system: cubic. Its volume is 78.14 Å³ per cell. The value obtained for the density of states at the Fermi level is 1.532 states/eV per atom. The value obtained for the calculated density is 4.11 g/cm³. Its energy relative to the elements is 0.031 eV per atom. As for the total energy: -6.163 eV per atom.

Lattice parameters (Å, degrees): 4.799 4.799 4.799 60.00 60.00 60.00
Element x y z (fractional)
Sc1 0.000 0.000 0.000
Sc2 0.250 0.250 0.250
Sc3 0.750 0.750 0.750
Ni1 0.500 0.500 0.500


Record 4
Here is crystalline Sc3Ni at its relaxed geometry from the Alexandria database. Energies are from PBE.

As for the crystal system: hexagonal. Its volume is 156.97 Å³ per cell. The value obtained for the density of states at the Fermi level is 1.281 states/eV per atom. The value obtained for the calculated density is 4.10 g/cm³. Its energy relative to the elements is -0.094 eV per atom. As for the total energy: -6.288 eV per atom.

Lattice parameters (Å, degrees): 6.291 6.291 4.580 90.00 90.00 120.00
Element x y z (fractional)
Sc1 0.178 0.356 0.250
Sc2 0.178 0.822 0.250
Sc3 0.356 0.178 0.750
Sc4 0.644 0.822 0.250
Sc5 0.822 0.178 0.750
Sc6 0.822 0.644 0.750
Ni1 0.333 0.667 0.750
Ni2 0.667 0.333 0.250


Record 5
Here is crystalline Sc3Ni at its relaxed geometry from the Alexandria database. Energies are from PBE.

As for the crystal system: orthorhombic. Its volume is 80.43 Å³ per cell. The value obtained for the density of states at the Fermi level is 1.212 states/eV per atom. The value obtained for the calculated density is 4.00 g/cm³. Its energy relative to the elements is -0.231 eV per atom. As for the total energy: -6.425 eV per atom.

Lattice parameters (Å, degrees): 5.774 5.774 5.774 146.29 130.50 61.23
Element x y z (fractional)
Sc1 0.000 0.000 0.000
Sc2 0.297 0.797 0.500
Sc3 0.703 0.203 0.500
Ni1 0.500 0.500 0.000


Record 6
Here is crystalline ScNi2 at its relaxed geometry from the Alexandria database. Energies are from PBE.

As for the crystal system: orthorhombic. Its volume is 165.95 Å³ per cell. The value obtained for the density of states at the Fermi level is 0.498 states/eV per atom. The value obtained for the calculated density is 6.50 g/cm³. Its energy relative to the elements is -0.396 eV per atom. As for the total energy: -6.361 eV per atom.

Lattice parameters (Å, degrees): 5.271 3.893 8.087 90.00 90.00 90.00
Element x y z (fractional)
Sc1 0.158 0.250 0.106
Sc2 0.342 0.750 0.606
Sc3 0.658 0.250 0.394
Sc4 0.842 0.750 0.894
Ni1 0.095 0.250 0.750
Ni2 0.140 0.250 0.425
Ni3 0.360 0.750 0.925
Ni4 0.405 0.750 0.250
Ni5 0.595 0.250 0.750
Ni6 0.640 0.250 0.075
Ni7 0.860 0.750 0.575
Ni8 0.905 0.750 0.250


Record 7
Here is crystalline ScNi4 at its relaxed geometry from the Alexandria database. Energies are from PBE.

As for the crystal system: cubic. Its volume is 80.74 Å³ per cell. The value obtained for the density of states at the Fermi level is 1.368 states/eV per atom. The value obtained for the calculated density is 5.75 g/cm³. Its energy relative to the elements is 1.205 eV per atom. As for the total energy: -4.686 eV per atom.

Lattice parameters (Å, degrees): 4.322 4.322 4.322 90.00 90.00 90.00
Element x y z (fractional)
Sc1 0.000 0.000 0.000
Ni1 0.000 0.000 0.500
Ni2 0.000 0.500 0.000
Ni3 0.500 0.000 0.000
Ni4 0.500 0.500 0.500


Record 8
Here is crystalline Sc3Ni4 at its relaxed geometry from the Alexandria database. Energies are from PBE.

As for the crystal system: hexagonal. Its volume is 117.92 Å³ per cell. The value obtained for the density of states at the Fermi level is 1.067 states/eV per atom. The value obtained for the calculated density is 5.21 g/cm³. Its energy relative to the elements is 0.219 eV per atom. As for the total energy: -5.798 eV per atom.

Lattice parameters (Å, degrees): 5.622 5.622 4.307 90.00 90.00 120.00
Element x y z (fractional)
Sc1 0.000 0.500 0.000
Sc2 0.500 0.000 0.000
Sc3 0.500 0.500 0.000
Ni1 0.000 0.000 0.253
Ni2 0.000 0.000 0.747
Ni3 0.333 0.667 0.500
Ni4 0.667 0.333 0.500


Record 9
Here is crystalline Sc8Ni at its relaxed geometry from the Alexandria database. Energies are from PBE.

As for the crystal system: tetragonal. Its volume is 203.32 Å³ per cell. The value obtained for the density of states at the Fermi level is 1.520 states/eV per atom. The value obtained for the calculated density is 3.42 g/cm³. Its energy relative to the elements is 0.001 eV per atom. As for the total energy: -6.270 eV per atom.

Lattice parameters (Å, degrees): 7.838 7.838 7.838 92.83 92.83 154.34
Element x y z (fractional)
Sc1 0.000 0.337 0.337
Sc2 0.000 0.663 0.663
Sc3 0.337 0.000 0.337
Sc4 0.352 0.352 0.705
Sc5 0.352 0.648 0.000
Sc6 0.648 0.352 0.000
Sc7 0.648 0.648 0.295
Sc8 0.663 0.000 0.663
Ni1 0.000 0.000 0.000


Record 10
Here is crystalline ScNi5 at its relaxed geometry from the Alexandria database. Energies are from PBE.

As for the crystal system: orthorhombic. Its volume is 73.39 Å³ per cell. The value obtained for the density of states at the Fermi level is 1.224 states/eV per atom. The value obtained for the calculated density is 7.66 g/cm³. Its energy relative to the elements is -0.114 eV per atom. As for the total energy: -5.987 eV per atom.

Lattice parameters (Å, degrees): 4.102 6.645 6.645 23.90 90.00 90.00
Element x y z (fractional)
Sc1 0.000 0.000 0.000
Ni1 0.000 0.327 0.327
Ni2 0.000 0.671 0.671
Ni3 0.500 0.129 0.129
Ni4 0.500 0.448 0.448
Ni5 0.500 0.790 0.790


Record 11
Here is crystalline Sc4Ni3 at its relaxed geometry from the Alexandria database. Energies are from PBE.

As for the crystal system: tetragonal. Its volume is 126.07 Å³ per cell. The value obtained for the density of states at the Fermi level is 0.952 states/eV per atom. The value obtained for the calculated density is 4.69 g/cm³. Its energy relative to the elements is -0.272 eV per atom. As for the total energy: -6.367 eV per atom.

Lattice parameters (Å, degrees): 12.012 12.012 12.012 164.35 164.35 22.20
Element x y z (fractional)
Sc1 0.063 0.063 0.000
Sc2 0.331 0.331 0.000
Sc3 0.669 0.669 0.000
Sc4 0.937 0.937 0.000
Ni1 0.220 0.220 0.000
Ni2 0.500 0.500 0.000
Ni3 0.780 0.780 0.000


Record 12
Here is crystalline ScNi2 at its relaxed geometry from the Alexandria database. Energies are from PBE.

As for the crystal system: trigonal. Its volume is 43.90 Å³ per cell. The value obtained for the density of states at the Fermi level is 0.807 states/eV per atom. The value obtained for the calculated density is 6.14 g/cm³. Its energy relative to the elements is 0.064 eV per atom. As for the total energy: -5.900 eV per atom.

Lattice parameters (Å, degrees): 2.955 2.955 5.804 90.00 90.00 120.00
Element x y z (fractional)
Sc1 0.000 0.000 0.000
Ni1 0.333 0.667 0.660
Ni2 0.667 0.333 0.340